Record 1
# CdTeBr

Crystalline CdTeBr at its relaxed geometry (PBE, the Alexandria database).

abc: 7.8104 7.8104 7.8104
angles: 154.16 154.16 36.87
With the nearest neighbours (Å) after each atom.
Atoms (fractional coordinates):
Te 0.7012 0.7012 0.0000  4 Cd 3.24, 4 Te 3.49
Br 0.9559 0.9559 0.0000  4 Cd 2.98
Cd 0.3429 0.3429 0.0000  4 Br 2.98, 4 Te 3.24

- Energy above the most stable polymorph in this dataset: 388 meV per atom
- Crystal system: tetragonal
- Total magnetic moment: 0.0 μB per cell
- Calculated volume: 90 Å³ per cell
- Uncorrected formation energy: -3.766 kcal/mol of atoms

=====

Record 2
# CdTe2Br

Crystalline CdTe2Br at its relaxed geometry (PBE, the Alexandria database).

abc: 4.2342 4.2368 7.3526
angles: 90.00 90.00 90.00
With the nearest neighbours (Å) after each atom.
Atoms (fractional coordinates):
Te 0.0000 0.0000 0.0000  4 Te 2.99
Te 0.5000 0.5000 0.0000  4 Te 2.99
Br 0.5000 0.0000 0.5000  4 Cd 2.99
Cd 0.0000 0.5000 0.5000  4 Br 2.99

- Energy above the most stable polymorph in this dataset: 191 meV per atom
- Crystal system: tetragonal
- Total magnetic moment: 0.0 μB per cell
- Calculated volume: 132 Å³ per cell
- Uncorrected formation energy: -1.841 kcal/mol of atoms

=====

Record 3
# CdTe2Br

Crystalline CdTe2Br at its relaxed geometry (PBE, the Alexandria database).

abc: 5.4020 5.4056 5.4093
angles: 69.50 72.52 110.45
With the nearest neighbours (Å) after each atom.
Atoms (fractional coordinates):
Te 0.0000 0.0000 0.0000  2 Br 3.08, 2 Cd 3.08, 2 Te 3.20
Te 0.5000 0.0000 0.5000  2 Cd 3.08, 2 Br 3.08, 2 Te 3.20
Br 0.0000 0.5000 0.5000  4 Te 3.08, 2 Cd 3.20
Cd 0.5000 0.5000 0.0000  4 Te 3.08, 2 Br 3.20

- Energy above the most stable polymorph in this dataset: 210 meV per atom
- Crystal system: tetragonal
- Total magnetic moment: 0.0 μB per cell
- Calculated volume: 121 Å³ per cell
- Uncorrected formation energy: -1.391 kcal/mol of atoms

=====

Record 4
# CdTeBr

Crystalline CdTeBr at its relaxed geometry (PBE, the Alexandria database).

abc: 5.6010 7.2705 11.3461
angles: 90.00 103.76 90.00
With the nearest neighbours (Å) after each atom.
Atoms (fractional coordinates):
Te 0.0985 0.0000 0.3971  1 Te 2.81, 2 Cd 2.87
Te 0.9015 0.0000 0.6029  1 Te 2.81, 2 Cd 2.87
Te 0.0985 0.5000 0.8971  1 Te 2.81, 2 Cd 2.87
Te 0.9015 0.5000 0.1029  1 Te 2.81, 2 Cd 2.87
Br 0.3863 0.0000 0.1504  2 Cd 2.72
Br 0.6137 0.0000 0.8496  2 Cd 2.72
Br 0.3863 0.5000 0.6504  2 Cd 2.72
Br 0.6137 0.5000 0.3496  2 Cd 2.72
Cd 0.5000 0.2406 0.5000  2 Br 2.72, 2 Te 2.87
Cd 0.5000 0.7594 0.5000  2 Br 2.72, 2 Te 2.87
Cd 0.5000 0.7406 0.0000  2 Br 2.72, 2 Te 2.87
Cd 0.5000 0.2594 0.0000  2 Br 2.72, 2 Te 2.87

- Energy above the most stable polymorph in this dataset: 12 meV per atom
- Crystal system: monoclinic
- Total magnetic moment: 0.0 μB per cell
- Calculated volume: 449 Å³ per cell
- Uncorrected formation energy: -12.450 kcal/mol of atoms

=====

Record 5
# CdTeBr2

Crystalline CdTeBr2 at its relaxed geometry (PBE, the Alexandria database).

abc: 5.3762 5.4734 5.3683
angles: 66.91 78.47 113.15
With the nearest neighbours (Å) after each atom.
Atoms (fractional coordinates):
Te 0.5000 0.5000 0.0000  4 Br 2.99
Br 0.0000 0.0000 0.0000  2 Cd 2.99, 2 Te 2.99
Br 0.5000 0.0000 0.5000  2 Te 2.99, 2 Cd 2.99
Cd 0.0000 0.5000 0.5000  4 Br 2.99

- Energy above the most stable polymorph in this dataset: 254 meV per atom
- Crystal system: orthorhombic
- Total magnetic moment: 0.0 μB per cell
- Calculated volume: 121 Å³ per cell
- Uncorrected formation energy: -3.114 kcal/mol of atoms

=====

Record 6
# CdTeBr2

Crystalline CdTeBr2 at its relaxed geometry (PBE, the Alexandria database).

abc: 3.4760 3.4760 11.7701
angles: 90.00 90.00 107.25
With the nearest neighbours (Å) after each atom.
Atoms (fractional coordinates):
Te 0.5000 0.5000 0.7500  4 Te 3.48
Br 0.0000 0.0000 0.0968  2 Cd 2.74
Br 0.0000 0.0000 0.4032  2 Cd 2.74
Cd 0.5000 0.5000 0.2500  4 Br 2.74

- Energy above the most stable polymorph in this dataset: 174 meV per atom
- Crystal system: orthorhombic
- Total magnetic moment: 0.0 μB per cell
- Calculated volume: 136 Å³ per cell
- Uncorrected formation energy: -4.959 kcal/mol of atoms

=====

Record 7
# CdTeBr2

Crystalline CdTeBr2 at its relaxed geometry (PBE, the Alexandria database).

abc: 8.0398 8.0398 8.0398
angles: 152.40 146.88 43.63
With the nearest neighbours (Å) after each atom.
Atoms (fractional coordinates):
Te 0.7121 0.2121 0.5000  2 Cd 3.01, 4 Br 3.02
Br 0.9913 0.9913 0.0000  4 Cd 3.14
Br 0.2402 0.7402 0.5000  4 Te 3.02
Cd 0.5565 0.5565 0.0000  2 Te 3.01, 4 Br 3.14

- Energy above the most stable polymorph in this dataset: 196 meV per atom
- Crystal system: orthorhombic
- Total magnetic moment: 0.0 μB per cell
- Calculated volume: 131 Å³ per cell
- Uncorrected formation energy: -4.456 kcal/mol of atoms

=====

Record 8
# CdTe2Br

Crystalline CdTe2Br at its relaxed geometry (PBE, the Alexandria database).

abc: 6.5063 6.5063 5.3765
angles: 81.12 81.12 32.93
With the nearest neighbours (Å) after each atom.
Atoms (fractional coordinates):
Te 0.9458 0.9458 0.0923  2 Te 2.97, 2 Cd 3.07, 1 Br 3.29
Te 0.5542 0.5542 0.4077  2 Te 2.97, 2 Cd 3.07, 1 Br 3.29
Br 0.7500 0.7500 0.7500  4 Cd 3.26, 2 Te 3.29
Cd 0.2500 0.2500 0.2500  4 Te 3.07, 4 Br 3.26

- Energy above the most stable polymorph in this dataset: 134 meV per atom
- Crystal system: monoclinic
- Total magnetic moment: 0.0 μB per cell
- Calculated volume: 122 Å³ per cell
- Uncorrected formation energy: -3.134 kcal/mol of atoms

=====

Q: Among the records above, which one has the lowest calculated volume?
A: number 1

=====

Q: total magnetic moment of number 1 (CdTeBr)?
A: 0.0 μB per cell

=====

Q: Which value of calculated volume does entry 8 give?
A: 122 Å³ per cell